1.
# Sc2AlGe3Pt2, optimized geometry, DFT PBE
# magnetization: 0.005 μB per cell
# electronic total energy: -6.071 eV/atom
# mass density: 8.6 g/cm³
# volume: 281 Å³/cell
data_Sc2AlGe3Pt2
_space_group_name_H-M_alt 'C 1 m 1'
_space_group_IT_number 8
_cell_length_a 10.209
_cell_length_b 4.177
_cell_length_c 6.596
_cell_angle_alpha 90.00
_cell_angle_beta 93.56
_cell_angle_gamma 90.00
loop_
_space_group_symop_operation_xyz
'x,y,z'
'x,-y,z'
'x+1/2,y+1/2,z'
'x+1/2,-y+1/2,z'
loop_
_atom_site_label
_atom_site_fract_x
_atom_site_fract_y
_atom_site_fract_z
_atom_site_occupancy
Sc1 0.000 0.000 0.000 1
Sc2 0.169 0.000 0.501 1
Al1 0.447 0.000 0.301 1
Ge1 0.205 0.500 0.216 1
Ge2 0.213 0.500 0.787 1
Ge3 0.457 0.000 0.719 1
Pt1 0.277 0.000 0.002 1
Pt2 0.396 0.500 0.504 1

2.
# Sc2AlGePt4, optimized geometry, DFT PBE
# magnetization: 0.038 μB per cell
# electronic total energy: -6.729 eV/atom
# mass density: 12.0 g/cm³
# volume: 269 Å³/cell
data_Sc2AlGePt4
_space_group_name_H-M_alt 'A m m 2'
_space_group_IT_number 38
_cell_length_a 7.219
_cell_length_b 3.559
_cell_length_c 10.479
_cell_angle_alpha 90.00
_cell_angle_beta 90.00
_cell_angle_gamma 90.00
loop_
_space_group_symop_operation_xyz
'x,y,z'
'-x,-y,z'
'-x,y,z'
'x,-y,z'
'x,y+1/2,z+1/2'
'-x,-y+1/2,z+1/2'
'-x,y+1/2,z+1/2'
'x,-y+1/2,z+1/2'
loop_
_atom_site_label
_atom_site_fract_x
_atom_site_fract_y
_atom_site_fract_z
_atom_site_occupancy
Sc1 0.000 0.000 0.000 1
Sc2 0.500 0.000 0.077 1
Al1 0.000 0.000 0.278 1
Ge1 0.500 0.000 0.799 1
Pt1 0.200 0.000 0.671 1
Pt2 0.295 0.000 0.410 1

3.
# SmAlGePt2, optimized geometry, DFT PBE
# magnetization: 0.003 μB per cell
# electronic total energy: -6.067 eV/atom
# mass density: 11.2 g/cm³
# volume: 190 Å³/cell
data_SmAlGePt2
_space_group_name_H-M_alt 'P 4/n m m'
_space_group_IT_number 129
_cell_length_a 4.270
_cell_length_b 4.270
_cell_length_c 10.438
_cell_angle_alpha 90.00
_cell_angle_beta 90.00
_cell_angle_gamma 90.00
loop_
_space_group_symop_operation_xyz
'x,y,z'
'-x,-y,-z'
'-y+1/2,x,z'
'y+1/2,-x,-z'
'-x+1/2,-y+1/2,z'
'x+1/2,y+1/2,-z'
'y,-x+1/2,z'
'-y,x+1/2,-z'
'x+1/2,-y,-z'
'-x+1/2,y,z'
'-y,-x,-z'
'y,x,z'
'-x,y+1/2,-z'
'x,-y+1/2,z'
'y+1/2,x+1/2,-z'
'-y+1/2,-x+1/2,z'
loop_
_atom_site_label
_atom_site_fract_x
_atom_site_fract_y
_atom_site_fract_z
_atom_site_occupancy
Sm1 0.250 0.250 0.249 1
Al1 0.250 0.750 0.500 1
Ge1 0.250 0.250 0.865 1
Pt1 0.250 0.250 0.631 1
Pt2 0.250 0.750 0.000 1

4.
# SrAlGePt2, optimized geometry, DFT PBE
# magnetization: 0.014 μB per cell
# electronic total energy: -5.335 eV/atom
# mass density: 9.6 g/cm³
# volume: 201 Å³/cell
data_SrAlGePt2
_space_group_name_H-M_alt 'P 4/n m m'
_space_group_IT_number 129
_cell_length_a 4.334
_cell_length_b 4.334
_cell_length_c 10.680
_cell_angle_alpha 90.00
_cell_angle_beta 90.00
_cell_angle_gamma 90.00
loop_
_space_group_symop_operation_xyz
'x,y,z'
'-x,-y,-z'
'-y+1/2,x,z'
'y+1/2,-x,-z'
'-x+1/2,-y+1/2,z'
'x+1/2,y+1/2,-z'
'y,-x+1/2,z'
'-y,x+1/2,-z'
'x+1/2,-y,-z'
'-x+1/2,y,z'
'-y,-x,-z'
'y,x,z'
'-x,y+1/2,-z'
'x,-y+1/2,z'
'y+1/2,x+1/2,-z'
'-y+1/2,-x+1/2,z'
loop_
_atom_site_label
_atom_site_fract_x
_atom_site_fract_y
_atom_site_fract_z
_atom_site_occupancy
Sr1 0.250 0.250 0.245 1
Al1 0.250 0.750 0.500 1
Ge1 0.250 0.250 0.872 1
Pt1 0.250 0.250 0.629 1
Pt2 0.250 0.750 0.000 1

5.
# Pu2Al3Ge4, optimized geometry, DFT PBE
# magnetization: 43.332 μB per cell
# electronic total energy: -6.834 eV/atom
# mass density: 8.3 g/cm³
# volume: 692 Å³/cell
data_Pu2Al3Ge4
_space_group_name_H-M_alt 'C m c e'
_space_group_IT_number 64
_space_group_name_Hall '-C 2ac 2'
_cell_length_a 5.912
_cell_length_b 14.830
_cell_length_c 7.889
_cell_angle_alpha 90.00
_cell_angle_beta 90.00
_cell_angle_gamma 90.00
loop_
_atom_site_label
_atom_site_fract_x
_atom_site_fract_y
_atom_site_fract_z
_atom_site_occupancy
Pu1 0.000 0.114 0.075 1
Al1 0.000 0.000 0.500 1
Al2 0.250 0.218 0.750 1
Ge1 0.000 0.183 0.448 1
Ge2 0.250 0.047 0.750 1

6.
# Sm2AlGe, optimized geometry, DFT PBE
# magnetization: 0.266 μB per cell
# electronic total energy: -5.128 eV/atom
# mass density: 6.6 g/cm³
# volume: 203 Å³/cell
data_Sm2AlGe
_space_group_name_H-M_alt 'A m m 2'
_space_group_IT_number 38
_cell_length_a 4.082
_cell_length_b 4.450
_cell_length_c 11.167
_cell_angle_alpha 90.00
_cell_angle_beta 90.00
_cell_angle_gamma 90.00
loop_
_space_group_symop_operation_xyz
'x,y,z'
'-x,-y,z'
'-x,y,z'
'x,-y,z'
'x,y+1/2,z+1/2'
'-x,-y+1/2,z+1/2'
'-x,y+1/2,z+1/2'
'x,-y+1/2,z+1/2'
loop_
_atom_site_label
_atom_site_fract_x
_atom_site_fract_y
_atom_site_fract_z
_atom_site_occupancy
Sm1 0.000 0.000 0.000 1
Sm2 0.500 0.000 0.282 1
Al1 0.500 0.000 0.569 1
Ge1 0.000 0.000 0.717 1

7.
# Sm2AlGe, optimized geometry, DFT PBE
# magnetization: 0.537 μB per cell
# electronic total energy: -5.123 eV/atom
# mass density: 6.5 g/cm³
# volume: 204 Å³/cell
data_Sm2AlGe
_space_group_name_H-M_alt 'P 1 21/m 1'
_space_group_IT_number 11
_cell_length_a 6.009
_cell_length_b 4.079
_cell_length_c 8.736
_cell_angle_alpha 90.00
_cell_angle_beta 107.74
_cell_angle_gamma 90.00
loop_
_space_group_symop_operation_xyz
'x,y,z'
'-x,-y,-z'
'-x,y+1/2,-z'
'x,-y+1/2,z'
loop_
_atom_site_label
_atom_site_fract_x
_atom_site_fract_y
_atom_site_fract_z
_atom_site_occupancy
Sm1 0.206 0.250 0.426 1
Sm2 0.284 0.750 0.068 1
Al1 0.360 0.750 0.714 1
Ge1 0.139 0.250 0.790 1

8.
# Ta2AlGe2, optimized geometry, DFT PBE
# magnetization: 0.002 μB per cell
# electronic total energy: -7.116 eV/atom
# mass density: 9.2 g/cm³
# volume: 192 Å³/cell
data_Ta2AlGe2
_space_group_name_H-M_alt 'I 4/m m m'
_space_group_IT_number 139
_space_group_name_Hall '-I 4 2'
_cell_length_a 4.159
_cell_length_b 4.159
_cell_length_c 11.107
_cell_angle_alpha 90.00
_cell_angle_beta 90.00
_cell_angle_gamma 90.00
loop_
_atom_site_label
_atom_site_fract_x
_atom_site_fract_y
_atom_site_fract_z
_atom_site_occupancy
Ta1 0.000 0.500 0.250 1
Al1 0.000 0.000 0.000 1
Ge1 0.000 0.000 0.395 1